1.
VASP calculation (GGA-PBE) on a relaxed HfTiMn2Cd crystal.

Cell lengths 4.645, 4.645, 5.017 Å; angles 90.00, 90.00, 90.00 degrees
Space group P4/mmm (No. 123)
Inequivalent atoms, fractional coordinates:
Hf 0.000 0.000 0.000 x1
Ti 0.500 0.500 0.000 x1
Mn 0.000 0.500 0.500 x2
Cd 0.000 0.000 0.500 x1

Computed properties:
- ΔE_f: 2.009 eV per atom
- Density of states at the Fermi level: 13.63 states/eV/cell
- Uncorrected energy: -5.412 eV per atom



2.
VASP calculation (GGA-PBE) on a relaxed GaGeICl2 crystal.

Cell lengths 4.751, 4.751, 5.821 Å; angles 90.00, 90.00, 90.00 degrees
Space group P4/mmm (No. 123)
Inequivalent atoms, fractional coordinates:
Ga 0.000 0.000 0.000 x1
Ge 0.000 0.000 0.500 x1
I 0.500 0.500 0.500 x1
Cl 0.000 0.500 0.000 x2

Computed properties:
- Uncorrected formation energy: -0.271 eV/atom
- Density of states at the Fermi level: 0.30 states/eV/cell
- Uncorrected energy: -2.849 eV per atom



3.
VASP calculation (GGA-PBE) on a relaxed Mn2CoIr crystal.

Cell lengths 2.6382, 2.6382, 24.7988 Å; angles 90.00, 90.00, 120.00 degrees
Space group R3m (No. 160, hexagonal axes)
Inequivalent atoms, fractional coordinates:
Mn 0.0000 0.0000 0.0000 x3
Mn 0.0000 0.0000 0.2543 x3
Co 0.0000 0.0000 0.5063 x3
Ir 0.0000 0.0000 0.7528 x3

Computed properties:
- ΔE_f: 0.075 eV per atom
- Density of states at the Fermi level: 14.34 states/eV/cell
- Uncorrected energy: -8.501 eV per atom



4.
VASP calculation (GGA-PBE) on a relaxed Li5GaGe2O8 crystal.

Cell lengths 5.165, 10.857, 6.463 Å; angles 90.00, 90.32, 90.00 degrees
Space group P2_1 (No. 4)
Inequivalent atoms, fractional coordinates:
Li 0.044 0.000 0.481 x2
Li 0.057 0.238 0.256 x2
Li 0.066 0.243 0.747 x2
Li 0.433 0.907 0.237 x2
Li 0.435 0.159 0.999 x2
Ga 0.434 0.912 0.742 x2
Ge 0.052 0.493 0.999 x2
Ge 0.422 0.667 0.483 x2
O 0.047 0.145 0.002 x2
O 0.047 0.913 0.221 x2
O 0.070 0.914 0.771 x2
O 0.086 0.664 0.500 x2
O 0.407 0.483 0.026 x2
O 0.453 0.240 0.733 x2
O 0.456 0.248 0.285 x2
O 0.461 0.008 0.500 x2

Computed properties:
- Uncorrected formation energy: -1.973 eV/atom
- Density of states at the Fermi level: 0.00 states/eV/cell
- Uncorrected energy: -5.817 eV per atom



5.
VASP calculation (GGA-PBE) on a relaxed CsSr2Ni2 crystal.

Cell lengths 8.659, 8.659, 4.301 Å; angles 90.00, 90.00, 90.00 degrees
Space group P4/mbm (No. 127)
Inequivalent atoms, fractional coordinates:
Cs 0.000 0.000 0.000 x2
Sr 0.153 0.347 0.500 x4
Ni 0.097 0.597 0.000 x4

Computed properties:
- ΔE_f: 0.304 eV per atom
- Density of states at the Fermi level: 13.56 states/eV/cell
- Uncorrected energy: -2.852 eV per atom



6.
VASP calculation (GGA-PBE) on a relaxed RbNaCa2Au crystal.

Cell lengths 5.849, 5.849, 6.140 Å; angles 90.00, 90.00, 90.00 degrees
Space group P4/mmm (No. 123)
Inequivalent atoms, fractional coordinates:
Rb 0.000 0.000 0.000 x1
Na 0.500 0.500 0.000 x1
Ca 0.000 0.500 0.500 x2
Au 0.500 0.500 0.500 x1

Computed properties:
- ΔE_f: -0.198 eV per atom
- Density of states at the Fermi level: 2.94 states/eV/cell
- E above lowest polymorph: 0 meV per atom
- Uncorrected energy: -2.112 eV per atom